MoIrW2: optimized geometry, PBE.

Cell lengths 3.257, 3.257, 5.960 Å; angles 90.00, 90.00, 90.00 degrees
Atoms (fractional coordinates):
Ir 0.500 0.500 0.250
Mo 0.500 0.500 0.750
W 0.000 0.000 0.998
W 0.000 0.000 0.502

Summary:
The spin magnetization is 0.00 μB per cell. The value obtained for the energy of formation is 131.2 meV per atom. The calculation puts the electronic total energy at -45.1 eV for the cell shown.

=====

MoIrW2: optimized geometry, PBE.

Cell lengths 4.898, 4.898, 4.916 Å; angles 81.30, 81.30, 32.70 degrees
Atoms (fractional coordinates):
Ir 0.500 0.500 0.501
Mo 0.240 0.240 0.256
W 0.001 0.001 0.002
W 0.760 0.760 0.741

Summary:
The spin magnetization is 0.00 μB per cell. The value obtained for the energy of formation is 47.9 meV per atom. The calculation puts the electronic total energy at -45.4 eV for the cell shown.

=====

Mo2IrW: optimized geometry, PBE.

Cell lengths 3.698, 3.698, 10.247 Å; angles 79.60, 79.60, 90.00 degrees
Atoms (fractional coordinates):
Mo 0.614 0.125 0.250
Mo 0.136 0.625 0.250
Mo 0.375 0.386 0.750
Mo 0.875 0.864 0.750
Ir 0.000 0.000 0.000
Ir 0.750 0.250 0.500
W 0.500 0.500 0.000
W 0.250 0.750 0.500

Summary:
The spin magnetization is 0.00 μB per cell. The value obtained for the energy of formation is 727.2 meV per atom. The calculation puts the electronic total energy at -81.1 eV for the cell shown.

=====

MoIrW2: optimized geometry, PBE.

Cell lengths 4.505, 2.747, 5.134 Å; angles 83.45, 90.00, 90.00 degrees
Atoms (fractional coordinates):
Ir 0.000 0.372 0.512
Mo 0.500 0.783 0.740
W 0.000 0.007 0.011
W 0.500 0.337 0.238

Summary:
The spin magnetization is 0.00 μB per cell. The value obtained for the energy of formation is 34.3 meV per atom. The calculation puts the electronic total energy at -45.5 eV for the cell shown.

=====

Question: energy of formation of number 2 (MoIrW2)?
Answer: 47.9 meV per atom

=====

What did the third record say?
Mo2IrW: optimized geometry, PBE.

Cell lengths 3.698, 3.698, 10.247 Å; angles 79.60, 79.60, 90.00 degrees
Atoms (fractional coordinates):
Mo 0.614 0.125 0.250
Mo 0.136 0.625 0.250
Mo 0.375 0.386 0.750
Mo 0.875 0.864 0.750
Ir 0.000 0.000 0.000
Ir 0.750 0.250 0.500
W 0.500 0.500 0.000
W 0.250 0.750 0.500

Summary:
The spin magnetization is 0.00 μB per cell. The value obtained for the energy of formation is 727.2 meV per atom. The calculation puts the electronic total energy at -81.1 eV for the cell shown.

=====

Question: Which of these has the highest energy of formation?
Answer: Mo2IrW

=====

Question: What is the formula in the first record?
Answer: MoIrW2